(1)
Computed, not measured: a relaxed structure of SmDyLu at the PBE level of DFT.

```
SmDyLu
1.0
3.4391 0.0000 0.0000
0.0000 5.6185 0.0000
0.0000 -2.8092 4.8658
Lu Sm Dy
1 1 1
direct
0.1675 0.3333 0.6667
0.6666 0.6667 0.3333
0.1659 0.0000 0.0000
```

polymorph energy (0 for the lowest one) = 52 meV per atom
ΔH_f (0 K) = 79 meV/atom
crystal system = trigonal
M_tot = 0.00 μB per formula unit

=====

(2)
Computed, not measured: a relaxed structure of BaRh4Pb6 at the PBE level of DFT.

```
BaRh4Pb6
1.0
6.3570 -0.1510 -3.4306
-4.0576 5.9673 -0.3618
-0.1027 0.1510 7.2229
Pb Rh Ba
6 4 1
direct
0.5000 0.5000 0.0000
0.0000 0.8781 0.5249
0.3533 0.4751 0.4751
0.0000 0.5249 0.8781
0.5000 0.0000 0.5000
0.6467 0.1219 0.1219
0.0000 0.2500 0.5911
0.3411 0.7500 0.7500
0.6589 0.4089 0.4089
0.0000 0.5911 0.2500
0.0000 0.0000 0.0000
```

ΔH_f (0 K) = -231 meV/atom
crystal system = tetragonal
M_tot = 0.00 μB per formula unit

=====

(3)
Computed, not measured: a relaxed structure of Ca2MgSbN at the PBE level of DFT.

```
Ca2MgSbN
1.0
-3.5804 -2.4876 -2.2865
3.2702 -3.3891 -1.4336
-0.7492 -2.2586 3.6306
Ca Sb Mg N
2 1 1 1
direct
0.5000 0.0000 0.0000
0.0000 0.5000 0.0000
0.5000 0.5000 0.5000
0.0000 0.0000 0.5000
0.0000 0.0000 0.0000
```

calculated total energy = -22.74 eV/f.u.
crystal system = tetragonal
M_tot = 0.00 μB per formula unit

=====

(4)
Computed, not measured: a relaxed structure of P2OsPt at the PBE level of DFT.

```
P2OsPt
1.0
-3.0191 -4.0423 0.2711
-0.2447 -3.1722 -3.9251
3.5499 2.2408 2.8117
Os P Pt
1 2 1
direct
0.7500 0.2500 0.5000
0.2500 0.7500 0.5000
0.0000 0.0000 0.0000
0.5000 0.5000 0.0000
```

polymorph energy (0 for the lowest one) = 602 meV per atom
ΔH_f (0 K) = 384 meV/atom
crystal system = tetragonal
M_tot = 0.00 μB per formula unit

=====

(5)
Computed, not measured: a relaxed structure of HfMn2In2 at the PBE level of DFT.

```
HfMn2In2
1.0
-4.0576 6.6427 0.7005
-5.7335 -3.8842 3.6222
1.3170 0.5252 2.6479
Hf In Mn
2 4 4
direct
0.5000 0.5000 0.0000
0.0000 0.0000 0.0000
0.8238 0.3238 0.5000
0.6762 0.8238 0.5000
0.1762 0.6762 0.5000
0.3238 0.1762 0.5000
0.8812 0.6188 0.0000
0.3812 0.8812 0.0000
0.6188 0.1188 0.0000
0.1188 0.3812 0.0000
```

ΔH_f (0 K) = 203 meV/atom
crystal system = tetragonal
M_tot = 5.59 μB per formula unit

=====

(6)
Computed, not measured: a relaxed structure of Pm8Er2Ga at the PBE level of DFT.

```
Pm8Er2Ga
1.0
-0.2718 -1.8927 -5.2088
-2.4748 -6.5900 2.5237
-6.8327 7.0772 0.7404
Pm Er Ga
8 2 1
direct
0.3683 0.6027 0.7366
0.6324 0.8683 0.2649
0.9998 0.2484 0.9995
0.1830 0.1835 0.3659
0.0002 0.7516 0.0005
0.8170 0.8165 0.6341
0.3676 0.1317 0.7351
0.6317 0.3973 0.2634
0.1917 0.6913 0.3834
0.8083 0.3087 0.6166
0.5000 0.0000 0.0000
```

ΔH_f (0 K) = -18 meV/atom
crystal system = monoclinic
M_tot = 0.00 μB per formula unit

=====

What is the M_tot in the fourth record?
0.00 μB per formula unit